Below is a geometry-optimized Pu2CdC structure, with properties calculated at the PBE level.

Values from the calculation:
The density of states at the Fermi level is 2.645 states/eV per atom. The energy relative to the elements comes out at 0.095 eV/atom. For the final energy, the calculation gives -9.6055 eV/atom.

```
data_Pu2CdC
_cell_length_a 8.760
_cell_length_b 3.395
_cell_length_c 5.875
_cell_angle_alpha 90.00
_cell_angle_beta 90.00
_cell_angle_gamma 90.00
_symmetry_space_group_name_H-M 'A m m 2'
_symmetry_Int_Tables_number 38
_symmetry_space_group_name_Hall 'A 2 -2'
loop_
_atom_site_label
_atom_site_type_symbol
_atom_site_fract_x
_atom_site_fract_y
_atom_site_fract_z
_atom_site_occupancy
Pu1 Pu 0.168 0.000 0.000 1
Cd1 Cd 0.500 0.000 0.335 1
C1 C 0.000 0.000 0.667 1
```